No. 1
# PBE-GGA Li2TeHIr, relaxed
# M_tot (μB/f.u.): 0.9
# Relative energy among the computed polymorphs (meV per atom): 552.9
# Density (g/cm3): 6.614
data_Li2TeHIr
_symmetry_space_group_name_H-M 'P 1'
_symmetry_Int_Tables_number 1
_cell_length_a 5.020
_cell_length_b 3.334
_cell_length_c 5.020
_cell_angle_alpha 90.00
_cell_angle_beta 90.00
_cell_angle_gamma 90.00
loop_
_symmetry_equiv_pos_as_xyz
'x,y,z'
loop_
_atom_site_label
_atom_site_fract_x
_atom_site_fract_y
_atom_site_fract_z
H1 0.000 0.500 0.000
Te1 0.500 0.500 0.500
Li1 0.500 0.000 0.000
Li2 0.000 0.000 0.500
Ir1 0.000 0.000 0.000

***

No. 2
# PBE-GGA LiTiHIr2, relaxed
# M_tot (μB/f.u.): 0.0
# Uncorrected energy (eV/atom): -6.629
# Density (g/cm3): 12.721
data_LiTiHIr2
_symmetry_space_group_name_H-M 'P 1'
_symmetry_Int_Tables_number 1
_cell_length_a 4.041
_cell_length_b 4.041
_cell_length_c 3.519
_cell_angle_alpha 90.00
_cell_angle_beta 90.00
_cell_angle_gamma 90.00
loop_
_symmetry_equiv_pos_as_xyz
'x,y,z'
loop_
_atom_site_label
_atom_site_fract_x
_atom_site_fract_y
_atom_site_fract_z
Ir1 0.000 0.500 0.000
Ir2 0.500 0.000 0.000
H1 0.000 0.000 0.000
Ti1 0.500 0.500 0.500
Li1 0.000 0.000 0.500

***

No. 3
# PBE-GGA LiTi2HIr, relaxed
# M_tot (μB/f.u.): 0.0
# Uncorrected energy (eV/atom): -6.411
# Density (g/cm3): 8.146
data_LiTi2HIr
_symmetry_space_group_name_H-M 'P 1'
_symmetry_Int_Tables_number 1
_cell_length_a 4.203
_cell_length_b 4.203
_cell_length_c 3.415
_cell_angle_alpha 90.00
_cell_angle_beta 90.00
_cell_angle_gamma 90.00
loop_
_symmetry_equiv_pos_as_xyz
'x,y,z'
loop_
_atom_site_label
_atom_site_fract_x
_atom_site_fract_y
_atom_site_fract_z
Li1 0.000 0.000 0.500
Ti1 0.500 0.000 0.000
Ti2 0.000 0.500 0.000
H1 0.000 0.000 0.000
Ir1 0.500 0.500 0.500

***

No. 4
# PBE-GGA LiTlH2Ir, relaxed
# M_tot (μB/f.u.): 0.0
# Uncorrected energy (eV/atom): -3.682
# Density (g/cm3): 9.465
data_LiTlH2Ir
_symmetry_space_group_name_H-M 'P 1'
_symmetry_Int_Tables_number 1
_cell_length_a 3.689
_cell_length_b 3.689
_cell_length_c 5.230
_cell_angle_alpha 90.00
_cell_angle_beta 90.00
_cell_angle_gamma 90.00
loop_
_symmetry_equiv_pos_as_xyz
'x,y,z'
loop_
_atom_site_label
_atom_site_fract_x
_atom_site_fract_y
_atom_site_fract_z
H1 0.000 0.500 0.000
H2 0.500 0.000 0.000
Ir1 0.000 0.000 0.000
Li1 0.500 0.500 0.500
Tl1 0.000 0.000 0.500